No. 1
! LiTiBe2, optimized geometry, DFT PBE-GGA; values from VASP
&SYSTEM
  ibrav = 0, nat = 4, ntyp = 3
/
ATOMIC_SPECIES
Be 9.01 Be.upf
Ti 47.87 Ti.upf
Li 6.94 Li.upf
ATOMIC_POSITIONS crystal
Be 0.2500 0.2500 0.2500
Be 0.7500 0.7500 0.7500
Ti 0.5000 0.5000 0.5000
Li 0.0000 0.0000 0.0000
CELL_PARAMETERS angstrom
-2.3512 -3.2950 0.0934
-0.9500 -1.7093 3.5454
-3.7834 0.2523 1.4199
! **Space group**: Fm-3m (225)
! **Uncorrected energy**: -4.1712 eV/atom

No. 2
! CaPaRh2, optimized geometry, DFT PBE-GGA; values from VASP
&SYSTEM
  ibrav = 0, nat = 4, ntyp = 3
/
ATOMIC_SPECIES
Ca 40.08 Ca.upf
Rh 102.91 Rh.upf
Pa 231.04 Pa.upf
ATOMIC_POSITIONS crystal
Ca 0.5000 0.5000 0.5000
Rh 0.7384 0.7384 0.7847
Rh 0.2616 0.2616 0.2153
Pa 0.0000 0.0000 0.0000
CELL_PARAMETERS angstrom
3.7949 0.0000 0.0000
1.8975 3.2865 0.0000
1.8975 1.0955 7.3765
! **Space group**: R-3m (166)
! **Uncorrected energy**: -7.1622 eV/atom

No. 3
! ErSc2Tl2Ag2, optimized geometry, DFT PBE-GGA; values from VASP
&SYSTEM
  ibrav = 0, nat = 7, ntyp = 4
/
ATOMIC_SPECIES
Tl 204.38 Tl.upf
Ag 107.87 Ag.upf
Sc 44.96 Sc.upf
Er 167.26 Er.upf
ATOMIC_POSITIONS crystal
Tl 0.7358 0.7358 0.7925
Tl 0.2642 0.2642 0.2075
Ag 0.4403 0.4403 0.6792
Ag 0.5597 0.5597 0.3208
Sc 0.8643 0.8643 0.4070
Sc 0.1357 0.1357 0.5930
Er 0.0000 0.0000 0.0000
CELL_PARAMETERS angstrom
4.7597 0.0000 0.0000
2.3798 4.1220 0.0000
2.3798 1.3740 8.3080
! **Space group**: R-3m (166)
! **Uncorrected energy**: -4.0965 eV/atom

No. 4
! TcAg2Ir, optimized geometry, DFT PBE-GGA; values from VASP
&SYSTEM
  ibrav = 0, nat = 4, ntyp = 3
/
ATOMIC_SPECIES
Tc 98.00 Tc.upf
Ir 192.22 Ir.upf
Ag 107.87 Ag.upf
ATOMIC_POSITIONS crystal
Tc 0.5000 0.5000 0.7357
Ir 0.0000 0.0000 0.5142
Ag 0.5000 0.5000 0.2549
Ag 0.0000 0.0000 0.9952
CELL_PARAMETERS angstrom
2.7482 0.0021 0.0000
-1.2982 2.4222 0.0000
0.0000 0.0000 9.8097
! **Space group**: Cmm2 (35)
! **Uncorrected energy**: -5.9058 eV/atom

No. 5
! AlI2Br8, optimized geometry, DFT PBE-GGA; values from VASP
&SYSTEM
  ibrav = 0, nat = 11, ntyp = 3
/
ATOMIC_SPECIES
Al 26.98 Al.upf
I 126.90 I.upf
Br 79.90 Br.upf
ATOMIC_POSITIONS crystal
Al 0.0000 0.0000 0.0000
I 0.6822 0.3643 0.5783
I 0.3178 0.6357 0.4217
Br 0.3478 0.1926 0.1115
Br 0.5700 0.1400 0.7082
Br 0.4300 0.8600 0.2918
Br 0.6522 0.8074 0.8885
Br 0.8449 0.1926 0.1115
Br 0.1889 0.3778 0.5705
Br 0.8111 0.6222 0.4295
Br 0.1551 0.8074 0.8885
CELL_PARAMETERS angstrom
-0.9367 -6.1129 -0.9336
6.8173 1.3312 5.3938
-8.4091 0.2489 6.8076
! **Space group**: C2/m (12)
! **Uncorrected energy**: -2.0946 eV/atom
! **ΔE_f (raw)**: -24.7 kJ per mole of atoms

No. 6
! Pm5IrSe4, optimized geometry, DFT PBE-GGA; values from VASP
&SYSTEM
  ibrav = 0, nat = 10, ntyp = 3
/
ATOMIC_SPECIES
Se 78.96 Se.upf
Pm 145.00 Pm.upf
Ir 192.22 Ir.upf
ATOMIC_POSITIONS crystal
Se 0.8049 0.8049 0.6098
Se 0.6032 0.6032 0.2064
Se 0.3968 0.3968 0.7936
Se 0.1951 0.1951 0.3902
Pm 0.5000 0.5000 0.0000
Pm 0.7045 0.7045 0.4091
Pm 0.9071 0.9071 0.8142
Pm 0.2955 0.2955 0.5909
Pm 0.0929 0.0929 0.1858
Ir 0.0000 0.0000 0.0000
CELL_PARAMETERS angstrom
4.1513 0.0000 -0.5850
-0.0825 4.1505 -0.5850
0.0234 0.0238 15.1866
! **Space group**: I4/mmm (139)
! **Uncorrected energy**: -6.2436 eV/atom
! **ΔE_f (raw)**: -153.3 kJ per mole of atoms

No. 7
! Sm6Er3Tm2Tl, optimized geometry, DFT PBE-GGA; values from VASP
&SYSTEM
  ibrav = 0, nat = 12, ntyp = 4
/
ATOMIC_SPECIES
Sm 150.36 Sm.upf
Er 167.26 Er.upf
Tl 204.38 Tl.upf
Tm 168.93 Tm.upf
ATOMIC_POSITIONS crystal
Sm 0.7535 0.7535 0.2495
Sm 0.2465 0.2465 0.7505
Sm 0.0827 0.4122 0.2481
Sm 0.9173 0.5878 0.7519
Sm 0.4122 0.0827 0.2481
Sm 0.5878 0.9173 0.7519
Er 0.5000 0.5000 0.5000
Er 0.8325 0.1675 0.5000
Er 0.1675 0.8325 0.5000
Tl 0.0000 0.0000 0.0000
Tm 0.3338 0.6662 0.0000
Tm 0.6662 0.3338 0.0000
CELL_PARAMETERS angstrom
-0.7815 0.7504 6.0558
5.2022 -2.4805 -2.1520
3.2163 11.0391 -2.0005
! **Space group**: C2/m (12)
! **Uncorrected energy**: -4.4487 eV/atom

No. 8
! Ba2SrReN4, optimized geometry, DFT PBE-GGA; values from VASP
&SYSTEM
  ibrav = 0, nat = 16, ntyp = 4
/
ATOMIC_SPECIES
N 14.01 N.upf
Sr 87.62 Sr.upf
Ba 137.33 Ba.upf
Re 186.21 Re.upf
ATOMIC_POSITIONS crystal
N 0.9247 0.2748 0.8096
N 0.4211 0.0815 0.5000
N 0.4247 0.7252 0.3096
N 0.9247 0.2748 0.1904
N 0.9211 0.9185 0.0000
N 0.3241 0.1587 0.0000
N 0.8241 0.8413 0.5000
N 0.4247 0.7252 0.6904
Sr 0.9735 0.1409 0.5000
Sr 0.4735 0.8591 0.0000
Ba 0.4612 0.3375 0.2537
Ba 0.9612 0.6625 0.7537
Ba 0.4612 0.3375 0.7463
Ba 0.9612 0.6625 0.2463
Re 0.0093 0.1570 0.0000
Re 0.5093 0.8430 0.5000
CELL_PARAMETERS angstrom
-2.2969 5.2418 1.1484
-4.3419 -0.5714 -6.0762
-5.8172 -3.5326 4.4890
! **Space group**: Pmn2_1 (31)
! **Uncorrected energy**: -7.0910 eV/atom
! **ΔE_f (raw)**: -65.7 kJ per mole of atoms